Record 1
A plane-wave DFT calculation with GGA-PBE was carried out for crystalline PmH8Pd4Pt at its relaxed geometry.

Values from the calculation:
VASP energy in eV/atom: -4.3555
ρ in g/cm3: 9.3

The structure in POSCAR format:
```
PmH8Pd4Pt
1.0
2.894 1.671 4.780
-2.894 1.671 4.780
0.000 -3.342 4.780
Pm H Pd Pt
1 8 4 1
Cartesian
0.000 0.000 0.000
0.000 0.000 5.558
0.000 -1.527 7.830
-1.323 0.764 7.830
-1.046 -0.604 10.285
1.046 -0.604 10.285
0.000 1.207 10.285
0.000 0.000 12.114
1.323 0.764 7.830
-1.422 -0.821 6.605
0.000 0.000 3.629
1.422 -0.821 6.605
0.000 1.642 6.605
0.000 0.000 8.954
```


Record 2
A plane-wave DFT calculation with GGA-PBE was carried out for crystalline PmH8Pd4Rh at its relaxed geometry.

Values from the calculation:
VASP energy in eV/atom: -4.5066
ρ in g/cm3: 8.4

The structure in POSCAR format:
```
PmH8Pd4Rh
1.0
2.881 1.663 4.708
-2.881 1.663 4.708
0.000 -3.326 4.708
Pm H Pd Rh
1 8 4 1
Cartesian
0.000 0.000 0.000
0.000 0.000 5.449
0.000 -1.546 7.697
-1.339 0.773 7.697
-1.011 -0.584 10.048
1.011 -0.584 10.048
0.000 1.167 10.048
0.000 0.000 11.874
1.339 0.773 7.697
-1.417 -0.818 6.496
0.000 0.000 3.521
1.417 -0.818 6.496
0.000 1.637 6.496
0.000 0.000 8.807
```


Record 3
A plane-wave DFT calculation with GGA-PBE was carried out for crystalline PmH8PdRh2 at its relaxed geometry.

Values from the calculation:
VASP energy in eV/atom: -4.5210
ρ in g/cm3: 7.2

The structure in POSCAR format:
```
PmH8PdRh2
1.0
2.414 1.393 5.331
-2.414 1.393 5.331
0.000 -2.787 5.331
Pm H Pd Rh
1 8 1 2
Cartesian
0.000 0.000 0.000
-1.694 0.176 7.247
-0.999 -1.378 8.748
0.000 0.000 5.004
0.694 -1.555 7.247
-0.694 1.555 8.748
0.000 0.000 10.990
0.999 1.378 7.247
1.694 -0.176 8.748
0.000 0.000 7.997
0.000 0.000 3.325
0.000 0.000 12.670
```


Record 4
A plane-wave DFT calculation with GGA-PBE was carried out for crystalline Pm2H6PdRh at its relaxed geometry.

Values from the calculation:
VASP energy in eV/atom: -4.7673
ρ in g/cm3: 8.0

The structure in POSCAR format:
```
Pm2H6PdRh
1.0
0.000 3.760 3.770
3.709 0.000 3.770
3.709 3.760 0.000
Pm H Pd Rh
2 6 1 1
Cartesian
1.855 1.880 1.885
5.564 5.639 5.655
3.709 3.760 1.806
3.709 1.807 3.770
5.627 3.760 3.770
1.791 3.760 3.770
3.709 5.712 3.770
3.709 3.760 5.734
3.709 3.760 3.770
0.000 0.000 0.000
```


Record 5
A plane-wave DFT calculation with GGA-PBE was carried out for crystalline PmH8PdRh4 at its relaxed geometry.

Values from the calculation:
VASP energy in eV/atom: -4.9388
ρ in g/cm3: 8.6

The structure in POSCAR format:
```
PmH8PdRh4
1.0
2.837 1.638 4.649
-2.837 1.638 4.649
0.000 -3.276 4.649
Pm H Pd Rh
1 8 1 4
Cartesian
0.000 0.000 0.000
0.000 -1.804 7.178
-1.562 0.902 7.178
0.000 0.000 5.342
-1.024 -0.591 10.039
1.024 -0.591 10.039
0.000 1.183 10.039
0.000 0.000 11.718
1.562 0.902 7.178
0.000 0.000 8.595
-1.398 -0.807 6.352
0.000 0.000 3.544
1.398 -0.807 6.352
0.000 1.615 6.352
```


Record 6
A plane-wave DFT calculation with GGA-PBE was carried out for crystalline PmH7Pd2Rh2 at its relaxed geometry.

Values from the calculation:
VASP energy in eV/atom: -4.7254
ρ in g/cm3: 8.4

The structure in POSCAR format:
```
PmH7Pd2Rh2
1.0
-1.939 7.245 2.017
1.939 -7.245 2.017
1.939 7.245 -2.017
Pm H Pd Rh
1 7 2 2
Cartesian
0.000 0.000 0.000
1.939 1.726 0.073
1.939 -3.318 1.868
1.939 5.623 -0.097
0.000 1.623 1.921
0.000 7.245 0.653
1.939 3.318 1.868
0.000 5.519 2.091
1.939 3.586 -0.099
0.000 3.659 1.918
1.939 -1.522 1.880
1.939 1.522 1.880
```


Record 7
A plane-wave DFT calculation with GGA-PBE was carried out for crystalline PmH8Pd2Rh3 at its relaxed geometry.

Values from the calculation:
VASP energy in eV/atom: -4.8341
ρ in g/cm3: 8.5

The structure in POSCAR format:
```
PmH8Pd2Rh3
1.0
2.841 1.640 4.706
-2.841 1.640 4.706
0.000 -3.280 4.706
Pm H Pd Rh
1 8 2 3
Cartesian
0.000 0.000 0.000
0.000 -1.562 7.482
-1.353 0.781 7.482
0.000 0.000 5.448
-1.063 -0.614 10.260
0.000 0.000 11.893
1.353 0.781 7.482
1.063 -0.614 10.260
0.000 1.227 10.260
0.000 0.000 3.589
0.000 0.000 8.797
-1.396 -0.806 6.488
1.396 -0.806 6.488
0.000 1.612 6.488
```


Record 8
A plane-wave DFT calculation with GGA-PBE was carried out for crystalline PmH6PdRu at its relaxed geometry.

Values from the calculation:
VASP energy in eV/atom: -4.6073
ρ in g/cm3: 7.1

The structure in POSCAR format:
```
PmH6PdRu
1.0
4.741 0.000 0.000
-2.371 4.106 0.000
0.000 0.000 4.296
Pm H Pd Ru
1 6 1 1
Cartesian
0.000 0.000 0.000
2.371 0.104 0.969
2.371 0.104 3.326
1.275 2.001 0.969
1.275 2.001 3.326
3.466 2.001 0.969
3.466 2.001 3.326
0.000 2.737 2.148
2.371 1.369 2.148
```


Record 9
A plane-wave DFT calculation with GGA-PBE was carried out for crystalline Pm2SbHPd6 at its relaxed geometry.

Values from the calculation:
VASP energy in eV/atom: -5.4762
ρ in g/cm3: 9.5

The structure in POSCAR format:
```
Pm2SbHPd6
1.0
5.770 0.000 0.000
2.848 5.025 0.000
2.845 1.676 6.306
Pm Sb H Pd
2 1 1 6
Cartesian
2.920 1.705 1.958
8.543 4.996 4.348
5.732 3.351 3.153
0.000 0.000 0.000
5.636 4.995 5.233
4.188 2.455 5.079
4.354 4.239 1.078
7.109 2.463 5.229
7.275 4.247 1.227
5.827 1.706 1.073
```


Record 10
A plane-wave DFT calculation with GGA-PBE was carried out for crystalline PmSbHPd2 at its relaxed geometry.

Values from the calculation:
VASP energy in eV/atom: -5.2679
ρ in g/cm3: 8.9

The structure in POSCAR format:
```
PmSbHPd2
1.0
2.145 -5.659 0.000
2.145 5.659 0.000
0.000 0.000 7.412
Pm Sb H Pd
2 2 2 4
Cartesian
2.145 4.891 5.559
2.145 -4.891 1.853
2.145 3.215 1.853
2.145 -3.215 5.559
2.145 0.000 0.000
2.145 0.000 3.706
2.145 1.686 4.088
2.145 1.686 7.029
2.145 -1.686 0.383
2.145 -1.686 3.323
```


Record 11
A plane-wave DFT calculation with GGA-PBE was carried out for crystalline Pm2ScHPd6 at its relaxed geometry.

Values from the calculation:
VASP energy in eV/atom: -5.6923
ρ in g/cm3: 8.9

The structure in POSCAR format:
```
Pm2ScHPd6
1.0
2.902 1.675 6.267
-2.902 1.675 6.267
0.000 -3.351 6.267
Pm Sc H Pd
2 1 1 6
Cartesian
0.000 0.000 4.368
0.000 0.000 14.434
0.000 0.000 9.401
0.000 0.000 0.000
0.000 -1.679 7.402
-1.454 0.840 7.402
-1.454 -0.840 11.400
1.454 0.840 7.402
1.454 -0.840 11.400
0.000 1.679 11.400
```


Record 12
A plane-wave DFT calculation with GGA-PBE was carried out for crystalline Pm2SiHPd6 at its relaxed geometry.

Values from the calculation:
VASP energy in eV/atom: -5.6822
ρ in g/cm3: 9.4

The structure in POSCAR format:
```
Pm2SiHPd6
1.0
4.987 -2.877 0.000
4.987 2.877 0.000
-3.353 0.000 5.901
Pm Si H Pd
2 1 1 6
Cartesian
1.653 0.000 1.042
4.968 0.000 4.859
4.987 0.000 0.000
-1.676 0.000 2.950
-0.012 0.000 4.099
2.477 1.435 4.108
4.144 1.435 1.793
2.477 -1.435 4.108
4.144 -1.435 1.793
6.633 0.000 1.801
```